Computed, not measured: a relaxed structure of Mn2SnF6 at the PBE+U level of DFT.

The value obtained for the calculated total energy is -5.881 eV per atom. The energy above the most stable polymorph in this dataset comes out at 0 meV/atom.

The space group is P-31m (No. 162) and the conventional cell measures 5.6564, 5.6564 and 5.0792 Å, with angles of 90.00, 90.00 and 120.00 degrees. The distinct sites, in fractional coordinates, are Mn at (0.3333, 0.6667, 0.0000), Sn at (0.0000, 0.0000, 0.5000) and F at (0.0000, 0.3536, 0.2224).


Computed, not measured: a relaxed structure of Mn4SnF2 at the PBE+U level of DFT.

The value obtained for the calculated total energy is -5.690 eV per atom.

The space group is I4/mmm (No. 139) and the conventional cell measures 5.2896, 5.2896 and 12.0408 Å, with angles of 90.00, 90.00 and 90.00 degrees. The distinct sites, in fractional coordinates, are Mn at (0.0000, 0.0000, 0.2347), Mn at (0.0000, 0.5000, 0.0000), Sn at (0.0000, 0.0000, 0.0000) and F at (0.0000, 0.0000, 0.3961).


Computed, not measured: a relaxed structure of MnSn2F8 at the PBE+U level of DFT.

The value obtained for the calculated total energy is -5.077 eV per atom.

The space group is P-3 (No. 147) and the conventional cell measures 6.8073, 6.8073 and 4.3900 Å, with angles of 90.00, 90.00 and 120.00 degrees. The distinct sites, in fractional coordinates, are Mn at (0.0000, 0.0000, 0.0000), Sn at (0.3333, 0.6667, 0.2509), F at (0.1554, 0.8429, 0.2416) and F at (0.3333, 0.6667, 0.7505).


Computed, not measured: a relaxed structure of MnSn3F at the PBE+U level of DFT.

The value obtained for the calculated total energy is -4.119 eV per atom. The energy above the most stable polymorph in this dataset comes out at 340 meV/atom.

The space group is Pm-3m (No. 221) and the conventional cell measures 4.8761, 4.8761 and 4.8761 Å, with angles of 90.00, 90.00 and 90.00 degrees. The distinct sites, in fractional coordinates, are Mn at (0.0000, 0.0000, 0.0000), Sn at (0.0000, 0.0000, 0.5000) and F at (0.5000, 0.5000, 0.5000).